Compound: KCo2As
Source: Alexandria via LeMat-Bulk
Functional: PBE
Structure: relaxed

a = 2.7721 Å, b = 5.6345 Å, c = 10.1061 Å
α = 90.00°, β = 90.00°, γ = 90.00°
Closest atoms and distances in Å follow each position.
Space group Imm2 (No. 44)
Unique sites:
K 0.0000 0.0000 0.0000  2 K 2.77
Co 0.0000 0.0000 0.4860  2 Co 2.33, 2 As 2.39
Co 0.0000 0.5000 0.1713  2 Co 2.33
As 0.0000 0.5000 0.7937  2 Co 2.39

energy relative to the elements: 0.557 eV/atom
Fermi-level density of states: 5.37 states/eV/f.u.

---

Compound: LaEuTmCd
Source: Alexandria via LeMat-Bulk
Functional: PBE
Structure: relaxed

a = 7.9820 Å, b = 7.9820 Å, c = 7.9820 Å
α = 90.00°, β = 90.00°, γ = 90.00°
Closest atoms and distances in Å follow each position.
Space group F-43m (No. 216)
Unique sites:
La 0.0000 0.0000 0.0000  4 Cd 3.46, 4 Tm 3.46
Eu 0.0000 0.0000 0.5000  4 Cd 3.46, 4 Tm 3.46
Tm 0.2500 0.2500 0.7500  4 La 3.46, 4 Eu 3.46
Cd 0.2500 0.2500 0.2500  4 La 3.46, 4 Eu 3.46

energy relative to the elements: -0.028 eV/atom
Fermi-level density of states: 3.54 states/eV/f.u.

---

Compound: La2PmPdO5
Source: Alexandria via LeMat-Bulk
Functional: PBE
Structure: relaxed

a = 6.7297 Å, b = 6.7297 Å, c = 5.9513 Å
α = 90.00°, β = 90.00°, γ = 90.00°
Closest atoms and distances in Å follow each position.
Space group P4/mbm (No. 127)
Unique sites:
La 0.1635 0.3365 0.0000  2 O 2.24
Pm 0.0000 0.0000 0.5000  10 O 2.86-2.98
Pd 0.0000 0.5000 0.5000  4 O 2.13
O 0.0000 0.0000 0.0000  4 La 2.52
O 0.1704 0.6704 0.2673  1 Pd 2.13, 1 La 2.24

Fermi-level density of states: 0.40 states/eV/f.u.
formation energy from raw total energies: -2.50 eV/atom

---

Compound: Pr4Sm4Tm3
Source: Alexandria via LeMat-Bulk
Functional: PBE
Structure: relaxed

a = 3.5680 Å, b = 5.7170 Å, c = 18.3924 Å
α = 81.12°, β = 84.44°, γ = 89.99°
Closest atoms and distances in Å follow each position.
Space group P-1 (No. 2)
Unique sites:
Pr 0.0461 0.0482 0.4074  2 Sm 3.27, 3 Pr 3.35-3.57
Pr 0.1790 0.6798 0.1411  3 Sm 3.23-3.44, 2 Pr 3.57
Sm 0.0899 0.5917 0.3194  3 Pr 3.23-3.27, 2 Sm 3.57
Sm 0.2327 0.2326 0.0348  4 Pr 3.44-3.65, 6 Sm 3.57-3.60
Tm 0.3648 0.8636 0.7717  2 Tm 3.57, 6 Pr 3.70-3.72, 6 Sm 3.75-3.93
Tm 0.5000 0.5000 0.5000  2 Tm 3.57, 4 Sm 3.72, 8 Pr 3.75-3.77

energy relative to the elements: 0.059 eV/atom
distance to the lowest polymorph of the same formula: 19 meV per atom
Fermi-level density of states: 19.28 states/eV/f.u.

---

Compound: Sn3HgS4
Source: Alexandria via LeMat-Bulk
Functional: PBE
Structure: relaxed

a = 11.6498 Å, b = 5.7415 Å, c = 5.7426 Å
α = 90.00°, β = 90.00°, γ = 90.00°
Closest atoms and distances in Å follow each position.
Space group Pmn2_1 (No. 31)
Unique sites:
Sn 0.0000 0.2493 0.0005  6 S 2.85-2.90
Sn 0.2500 0.2500 0.5000  6 S 2.85-2.91
Hg 0.0000 0.7490 0.5021  6 S 2.86-2.97
S 0.0000 0.2493 0.4963  4 Sn 2.85-2.91, 2 Hg 2.87
S 0.0000 0.7497 0.9998  2 Hg 2.86-2.88, 4 Sn 2.87-2.91
S 0.2448 0.2498 0.9959  5 Sn 2.85-2.90, 1 Hg 2.97

Fermi-level density of states: 2.60 states/eV/f.u.
formation energy from raw total energies: -0.29 eV/atom

---

Compound: KHg2I2
Source: Alexandria via LeMat-Bulk
Functional: PBE
Structure: relaxed

a = 9.5286 Å, b = 9.5286 Å, c = 5.8726 Å
α = 90.00°, β = 90.00°, γ = 90.00°
Closest atoms and distances in Å follow each position.
Space group P4/mbm (No. 127)
Unique sites:
K 0.0000 0.0000 0.0000  4 I 3.46
Hg 0.1062 0.3938 0.5000  1 Hg 2.86, 2 I 3.15
I 0.1915 0.3085 0.0000  2 Hg 3.15, 2 K 3.46

distance to the lowest polymorph of the same formula: 20 meV per atom
Fermi-level density of states: 0.68 states/eV/f.u.
formation energy from raw total energies: -0.53 eV/atom

---

Compound: LiTlSn2
Source: Alexandria via LeMat-Bulk
Functional: PBE
Structure: relaxed

a = 7.4858 Å, b = 7.4858 Å, c = 7.4858 Å
α = 90.00°, β = 90.00°, γ = 90.00°
Closest atoms and distances in Å follow each position.
Space group Fm-3m (No. 225)
Unique sites:
Li 0.0000 0.0000 0.0000  8 Sn 3.24
Tl 0.0000 0.0000 0.5000  8 Sn 3.24
Sn 0.2500 0.2500 0.2500  4 Li 3.24, 4 Tl 3.24

energy relative to the elements: -0.013 eV/atom
distance to the lowest polymorph of the same formula: 118 meV per atom
Fermi-level density of states: 1.59 states/eV/f.u.

---

Compound: Ba6Hg5
Source: Alexandria via LeMat-Bulk
Functional: PBE
Structure: relaxed

a = 5.9668 Å, b = 8.3708 Å, c = 17.7983 Å
α = 90.00°, β = 90.00°, γ = 90.00°
Closest atoms and distances in Å follow each position.
Space group Immm (No. 71)
Unique sites:
Ba 0.0000 0.2451 0.0000  6 Hg 3.59-3.66
Ba 0.0000 0.2526 0.3323  7 Hg 3.59-3.66
Hg 0.0000 0.0000 0.1657  8 Ba 3.59-3.64
Hg 0.0000 0.5000 0.1672  8 Ba 3.59-3.66
Hg 0.0000 0.5000 0.5000  8 Ba 3.62-3.63

energy relative to the elements: -0.466 eV/atom
Fermi-level density of states: 9.68 states/eV/f.u.